1.
DFT (GGA-PBE) results for a relaxed BaCe2Pu crystal.

```
BaCe2Pu
1.0
1.8430 1.0641 10.4393
-1.8430 1.0641 10.4393
0.0000 -2.1281 10.4393
Ba Ce Pu
1 2 1
direct
0.0000 0.0000 0.0000
0.1175 0.1175 0.1175
0.8825 0.8825 0.8825
0.5000 0.5000 0.5000
```

Space group: R-3m
Density of states at the Fermi level in states/eV per atom: 2.506
Formation energy in kJ per mole of atoms: 45

---

2.
DFT (GGA-PBE) results for a relaxed Ba2CePuS6 crystal.

```
Ba2CePuS6
1.0
7.2585 0.0000 0.0000
0.0000 7.5201 0.0000
-7.2425 0.0000 10.4088
Ba Ce Pu S
4 2 2 12
direct
0.2334 0.0592 0.2500
0.2334 0.4408 0.7500
0.7666 0.5592 0.2500
0.7666 0.9408 0.7500
0.5000 0.0000 0.0000
0.5000 0.5000 0.5000
0.0000 0.0000 0.5000
0.0000 0.5000 0.0000
0.1564 0.2082 0.9545
0.1564 0.2918 0.4545
0.2465 0.7039 0.9543
0.2465 0.7961 0.4543
0.3328 0.0220 0.7475
0.3328 0.4780 0.2475
0.6672 0.5220 0.7525
0.6672 0.9780 0.2525
0.7535 0.2039 0.5457
0.7535 0.2961 0.0457
0.8436 0.7082 0.5455
0.8436 0.7918 0.0455
```

Calculated total energy in eV/cell: -134.20
Space group: P2_1/c
Density of states at the Fermi level in states/eV per atom: 0.988

---

3.
DFT (GGA-PBE) results for a relaxed Rb2BaCe3S8 crystal.

```
Rb2BaCe3S8
1.0
4.2373 2.4464 7.6134
-4.2373 2.4464 7.6134
0.0000 -4.8928 7.6134
Rb Ba Ce S
2 1 3 8
direct
0.0000 0.0000 0.0000
0.3692 0.3692 0.3692
0.6192 0.6192 0.6192
0.4954 0.9992 0.9992
0.9992 0.4954 0.9992
0.9992 0.9992 0.4954
0.1931 0.7452 0.7452
0.2264 0.2264 0.2264
0.2546 0.2546 0.8088
0.2546 0.8088 0.2546
0.7452 0.1931 0.7452
0.7452 0.7452 0.1931
0.7655 0.7655 0.7655
0.8088 0.2546 0.2546
```

Calculated total energy in eV/cell: -78.08
Space group: R3m

---

4.
DFT (GGA-PBE) results for a relaxed Rb3BaCe2S6 crystal.

```
Rb3BaCe2S6
1.0
3.7611 -6.5128 0.0000
3.7611 6.5128 0.0000
-2.5312 0.0000 7.6806
Rb Ba Ce S
3 1 2 6
direct
0.0000 0.0000 0.0000
0.3387 0.6613 0.0000
0.6613 0.3387 0.0000
0.5000 0.5000 0.5000
0.1671 0.8329 0.5000
0.8329 0.1671 0.5000
0.0673 0.4335 0.3024
0.2004 0.2004 0.6970
0.4335 0.0673 0.3024
0.5665 0.9327 0.6976
0.7996 0.7996 0.3030
0.9327 0.5665 0.6976
```

Calculated total energy in eV/cell: -62.42
Space group: C2/m
Density of states at the Fermi level in states/eV per atom: 0.503